A | Entry from Alexandria: crystalline CaTlW2 at its relaxed geometry (PBE).

## Properties
density of states at the Fermi level	4.48	states/eV/f.u.
mass density	12.97	g cm⁻³

Cell lengths 4.803, 4.803, 4.803 Å; angles 60.00, 60.00, 60.00 degrees
Fractional coordinates of all 4 atoms:
1 W 0.250 0.250 0.250
2 W 0.000 0.000 0.000
3 Ca 0.500 0.500 0.500
4 Tl 0.750 0.750 0.750

B | Entry from Alexandria: crystalline CaTlW2 at its relaxed geometry (PBE).

## Properties
density of states at the Fermi level	3.61	states/eV/f.u.
mass density	12.72	g cm⁻³

Cell lengths 4.885, 4.044, 4.044 Å; angles 90.00, 90.00, 90.00 degrees
Fractional coordinates of all 4 atoms:
1 Tl 0.500 0.000 0.500
2 W 0.000 0.000 0.000
3 W 0.000 0.500 0.500
4 Ca 0.500 0.500 0.000

C | Entry from Alexandria: crystalline CaTlW2 at its relaxed geometry (PBE).

## Properties
density of states at the Fermi level	4.03	states/eV/f.u.
mass density	11.13	g cm⁻³

Cell lengths 8.238, 8.238, 6.417 Å; angles 50.07, 50.07, 90.00 degrees
Fractional coordinates of all 8 atoms:
1 W 0.662 0.125 0.250
2 W 0.088 0.625 0.250
3 W 0.375 0.338 0.750
4 W 0.875 0.912 0.750
5 Tl 0.750 0.250 0.500
6 Ca 0.250 0.750 0.500
7 Ca 0.500 0.500 0.000
8 Tl 0.000 0.000 0.000

D | Entry from Alexandria: crystalline CaTlW2 at its relaxed geometry (PBE).

## Properties
density of states at the Fermi level	4.72	states/eV/f.u.
mass density	12.59	g cm⁻³

Cell lengths 4.851, 4.851, 4.851 Å; angles 60.00, 60.00, 60.00 degrees
Fractional coordinates of all 4 atoms:
1 Ca 0.000 0.000 0.000
2 W 0.250 0.250 0.250
3 W 0.750 0.750 0.750
4 Tl 0.500 0.500 0.500

Result of the stability comparison: C is the least stable of them.

A | Entry from Alexandria: crystalline CaTlW2 at its relaxed geometry (PBE).

## Properties
density of states at the Fermi level	3.35	states/eV/f.u.
mass density	12.64	g cm⁻³

Cell lengths 5.763, 5.763, 5.763 Å; angles 143.89, 133.97, 59.86 degrees
Fractional coordinates of all 4 atoms:
1 Tl 0.750 0.250 0.500
2 Ca 0.250 0.750 0.500
3 W 0.994 0.994 0.000
4 W 0.506 0.506 0.000

B | Entry from Alexandria: crystalline CaTlW2 at its relaxed geometry (PBE).

## Properties
density of states at the Fermi level	2.43	states/eV/f.u.
mass density	12.48	g cm⁻³

Cell lengths 5.229, 2.921, 5.345 Å; angles 86.33, 90.00, 90.00 degrees
Fractional coordinates of all 4 atoms:
1 W 0.000 0.911 0.021
2 Tl 0.500 0.750 0.750
3 Ca 0.500 0.250 0.250
4 W 0.000 0.589 0.479

C | Entry from Alexandria: crystalline CaTlW2 at its relaxed geometry (PBE).

## Properties
density of states at the Fermi level	3.17	states/eV/f.u.
mass density	12.05	g cm⁻³

Cell lengths 3.046, 3.046, 9.787 Å; angles 90.00, 90.00, 111.73 degrees
Fractional coordinates of all 4 atoms:
1 W 0.500 0.500 0.220
2 W 0.000 0.000 0.026
3 Tl 0.500 0.500 0.769
4 Ca 0.000 0.000 0.484

D | Entry from Alexandria: crystalline CaTlW2 at its relaxed geometry (PBE).

## Properties
density of states at the Fermi level	3.22	states/eV/f.u.
mass density	11.19	g cm⁻³

Cell lengths 3.694, 3.694, 6.656 Å; angles 90.00, 90.00, 90.00 degrees
Fractional coordinates of all 4 atoms:
1 W 0.000 0.000 0.929
2 Tl 0.500 0.500 0.750
3 W 0.000 0.000 0.571
4 Ca 0.500 0.500 0.250

Result of the stability comparison: D is the least stable of them.

A | Entry from Alexandria: crystalline CaTlW2 at its relaxed geometry (PBE).

## Properties
density of states at the Fermi level	3.00	states/eV/f.u.
mass density	12.86	g cm⁻³

Cell lengths 2.845, 5.360, 6.173 Å; angles 57.07, 90.00, 90.00 degrees
Fractional coordinates of all 4 atoms:
1 W 0.000 0.000 0.000
2 W 0.500 0.500 0.000
3 Ca 0.500 0.500 0.500
4 Tl 0.000 0.000 0.500

B | Entry from Alexandria: crystalline CaTlW2 at its relaxed geometry (PBE).

## Properties
density of states at the Fermi level	4.72	states/eV/f.u.
mass density	12.60	g cm⁻³

Cell lengths 10.378, 10.378, 10.378 Å; angles 16.72, 16.72, 16.72 degrees
Fractional coordinates of all 4 atoms:
1 W 0.004 0.004 0.004
2 W 0.496 0.496 0.496
3 Ca 0.250 0.250 0.250
4 Tl 0.750 0.750 0.750

C | Entry from Alexandria: crystalline CaTlW2 at its relaxed geometry (PBE).

## Properties
density of states at the Fermi level	2.42	states/eV/f.u.
mass density	12.15	g cm⁻³

Cell lengths 2.822, 5.093, 5.821 Å; angles 90.00, 90.00, 90.00 degrees
Fractional coordinates of all 4 atoms:
1 W 0.000 0.000 0.031
2 Ca 0.500 0.500 0.250
3 Tl 0.500 0.500 0.750
4 W 0.000 0.000 0.469

Result of the stability comparison: B is the least stable of them.

A | Entry from Alexandria: crystalline CaTlW2 at its relaxed geometry (PBE).

## Properties
density of states at the Fermi level	2.85	states/eV/f.u.
mass density	11.11	g cm⁻³

Cell lengths 4.589, 4.589, 6.850 Å; angles 83.29, 83.29, 39.72 degrees
Fractional coordinates of all 4 atoms:
1 Ca 0.501 0.501 0.520
2 Tl 0.257 0.257 0.209
3 W 0.007 0.007 0.953
4 W 0.735 0.735 0.817

B | Entry from Alexandria: crystalline CaTlW2 at its relaxed geometry (PBE).

## Properties
density of states at the Fermi level	3.41	states/eV/f.u.
mass density	11.66	g cm⁻³

Cell lengths 3.331, 3.331, 7.855 Å; angles 90.00, 90.00, 90.00 degrees
Fractional coordinates of all 4 atoms:
1 Ca 0.000 0.000 0.478
2 Tl 0.500 0.500 0.782
3 W 0.000 0.000 0.045
4 W 0.500 0.500 0.195

C | Entry from Alexandria: crystalline CaTlW2 at its relaxed geometry (PBE).

## Properties
density of states at the Fermi level	2.89	states/eV/f.u.
mass density	12.63	g cm⁻³

Cell lengths 2.870, 2.870, 10.022 Å; angles 90.00, 90.00, 102.89 degrees
Fractional coordinates of all 4 atoms:
1 Tl 0.500 0.500 0.750
2 W 0.000 0.000 0.988
3 Ca 0.500 0.500 0.250
4 W 0.000 0.000 0.512

Result of the stability comparison: C is the least stable of them.

A | Entry from Alexandria: crystalline Ca2YTl2 at its relaxed geometry (PBE).

## Properties
density of states at the Fermi level	2.22	states/eV/f.u.
mass density	6.22	g cm⁻³

Cell lengths 8.709, 8.709, 4.067 Å; angles 90.00, 90.00, 90.00 degrees
Fractional coordinates of all 10 atoms:
1 Ca 0.337 0.163 0.500
2 Tl 0.363 0.863 0.000
3 Y 0.500 0.500 0.000
4 Tl 0.137 0.363 0.000
5 Tl 0.863 0.637 0.000
6 Ca 0.837 0.337 0.500
7 Ca 0.163 0.663 0.500
8 Y 0.000 0.000 0.000
9 Tl 0.637 0.137 0.000
10 Ca 0.663 0.837 0.500

B | Entry from Alexandria: crystalline Ca2YTl2 at its relaxed geometry (PBE).

## Properties
density of states at the Fermi level	2.51	states/eV/f.u.
mass density	6.37	g cm⁻³

Cell lengths 9.291, 9.291, 3.491 Å; angles 90.00, 90.00, 90.00 degrees
Fractional coordinates of all 10 atoms:
1 Ca 0.873 0.627 0.000
2 Ca 0.373 0.873 0.000
3 Tl 0.827 0.327 0.500
4 Tl 0.673 0.827 0.500
5 Ca 0.627 0.127 0.000
6 Y 0.500 0.500 0.000
7 Y 0.000 0.000 0.000
8 Tl 0.327 0.173 0.500
9 Tl 0.173 0.673 0.500
10 Ca 0.127 0.373 0.000

Result of the stability comparison: B is the least stable of them.

A | Entry from Alexandria: crystalline CaY2Tl at its relaxed geometry (PBE).

## Properties
density of states at the Fermi level	5.61	states/eV/f.u.
mass density	5.39	g cm⁻³

Cell lengths 4.684, 4.684, 12.314 Å; angles 79.04, 79.04, 90.00 degrees
Fractional coordinates of all 8 atoms:
1 Tl 0.750 0.250 0.500
2 Ca 0.500 0.500 0.000
3 Y 0.875 0.895 0.750
4 Y 0.105 0.625 0.250
5 Y 0.645 0.125 0.250
6 Y 0.375 0.355 0.750
7 Tl 0.000 0.000 0.000
8 Ca 0.250 0.750 0.500

B | Entry from Alexandria: crystalline CaY2Tl at its relaxed geometry (PBE).

## Properties
density of states at the Fermi level	5.57	states/eV/f.u.
mass density	4.99	g cm⁻³

Cell lengths 5.230, 5.230, 6.656 Å; angles 66.87, 66.87, 60.00 degrees
Fractional coordinates of all 4 atoms:
1 Tl 0.684 0.684 0.949
2 Y 0.275 0.275 0.174
3 Ca 0.489 0.489 0.532
4 Y 0.052 0.052 0.845

C | Entry from Alexandria: crystalline CaY2Tl at its relaxed geometry (PBE).

## Properties
density of states at the Fermi level	4.25	states/eV/f.u.
mass density	5.65	g cm⁻³

Cell lengths 6.135, 6.713, 3.507 Å; angles 77.49, 84.40, 115.56 degrees
Fractional coordinates of all 4 atoms:
1 Y 0.500 0.000 0.500
2 Y 0.000 0.000 0.000
3 Tl 0.500 0.500 0.000
4 Ca 0.000 0.500 0.500

Result of the stability comparison: A is the least stable of them.

A | Entry from Alexandria: crystalline CaY2Tl at its relaxed geometry (PBE).

## Properties
density of states at the Fermi level	3.36	states/eV/f.u.
mass density	5.64	g cm⁻³

Cell lengths 4.990, 3.635, 7.431 Å; angles 67.26, 90.00, 90.00 degrees
Fractional coordinates of all 4 atoms:
1 Y 0.000 0.945 0.994
2 Ca 0.000 0.542 0.514
3 Tl 0.500 0.758 0.756
4 Y 0.500 0.255 0.236

B | Entry from Alexandria: crystalline CaY2Tl at its relaxed geometry (PBE).

## Properties
density of states at the Fermi level	4.36	states/eV/f.u.
mass density	5.53	g cm⁻³

Cell lengths 3.635, 3.635, 9.596 Å; angles 90.00, 90.00, 90.00 degrees
Fractional coordinates of all 4 atoms:
1 Tl 0.500 0.500 0.756
2 Y 0.000 0.000 0.978
3 Y 0.500 0.500 0.234
4 Ca 0.000 0.000 0.531

Result of the stability comparison: A is the least stable of them.

A | Entry from Alexandria: crystalline CaY2Tl at its relaxed geometry (PBE).

## Properties
density of states at the Fermi level	6.27	states/eV/f.u.
mass density	5.62	g cm⁻³

Cell lengths 6.745, 6.745, 5.468 Å; angles 66.08, 66.08, 33.61 degrees
Fractional coordinates of all 4 atoms:
1 Tl 0.749 0.749 0.751
2 Y 0.254 0.254 0.246
3 Ca 0.470 0.470 0.530
4 Y 0.027 0.027 0.973

B | Entry from Alexandria: crystalline CaY2Tl at its relaxed geometry (PBE).

## Properties
density of states at the Fermi level	4.01	states/eV/f.u.
mass density	5.88	g cm⁻³

Cell lengths 5.526, 5.526, 5.526 Å; angles 60.00, 60.00, 60.00 degrees
Fractional coordinates of all 4 atoms:
1 Y 0.750 0.750 0.750
2 Ca 0.000 0.000 0.000
3 Tl 0.500 0.500 0.500
4 Y 0.250 0.250 0.250

C | Entry from Alexandria: crystalline CaY2Tl at its relaxed geometry (PBE).

## Properties
density of states at the Fermi level	3.10	states/eV/f.u.
mass density	5.55	g cm⁻³

Cell lengths 6.851, 6.851, 5.533 Å; angles 66.17, 66.17, 32.44 degrees
Fractional coordinates of all 4 atoms:
1 Ca 0.250 0.250 0.250
2 Y 0.465 0.465 0.535
3 Y 0.035 0.035 0.965
4 Tl 0.750 0.750 0.750

Result of the stability comparison: B is the least stable of them.

A | Entry from Alexandria: crystalline CaY2Tl at its relaxed geometry (PBE).

## Properties
density of states at the Fermi level	4.93	states/eV/f.u.
mass density	5.41	g cm⁻³

Cell lengths 11.470, 11.470, 11.470 Å; angles 18.27, 18.27, 18.27 degrees
Fractional coordinates of all 4 atoms:
1 Ca 0.508 0.508 0.508
2 Y 0.995 0.995 0.995
3 Y 0.746 0.746 0.746
4 Tl 0.251 0.251 0.251

B | Entry from Alexandria: crystalline CaY2Tl at its relaxed geometry (PBE).

## Properties
density of states at the Fermi level	3.61	states/eV/f.u.
mass density	5.69	g cm⁻³

Cell lengths 3.615, 4.906, 6.948 Å; angles 90.00, 90.00, 90.00 degrees
Fractional coordinates of all 4 atoms:
1 Y 0.000 0.000 0.994
2 Tl 0.500 0.500 0.758
3 Y 0.500 0.500 0.236
4 Ca 0.000 0.000 0.512

Result of the stability comparison: A is the least stable of them.

A | Entry from Alexandria: crystalline CaY2Tl at its relaxed geometry (PBE).

## Properties
density of states at the Fermi level	4.73	states/eV/f.u.
mass density	5.84	g cm⁻³

Cell lengths 6.198, 6.198, 6.198 Å; angles 134.27, 134.27, 66.66 degrees
Fractional coordinates of all 4 atoms:
1 Ca 0.500 0.500 0.000
2 Y 0.250 0.750 0.500
3 Tl 0.750 0.250 0.500
4 Y 0.000 0.000 0.000

B | Entry from Alexandria: crystalline CaY2Tl at its relaxed geometry (PBE).

## Properties
density of states at the Fermi level	3.32	states/eV/f.u.
mass density	5.89	g cm⁻³

Cell lengths 4.954, 4.953, 4.854 Å; angles 90.00, 90.00, 90.00 degrees
Fractional coordinates of all 4 atoms:
1 Y 0.000 0.000 0.000
2 Tl 0.000 0.500 0.500
3 Y 0.500 0.500 0.000
4 Ca 0.500 0.000 0.500

C | Entry from Alexandria: crystalline CaY2Tl at its relaxed geometry (PBE).

## Properties
density of states at the Fermi level	4.58	states/eV/f.u.
mass density	5.47	g cm⁻³

Cell lengths 5.223, 3.697, 6.946 Å; angles 72.85, 90.00, 90.00 degrees
Fractional coordinates of all 4 atoms:
1 Y 0.000 0.583 0.528
2 Y 0.000 0.917 0.972
3 Ca 0.500 0.250 0.250
4 Tl 0.500 0.750 0.750

D | Entry from Alexandria: crystalline CaY2Tl at its relaxed geometry (PBE).

## Properties
density of states at the Fermi level	5.64	states/eV/f.u.
mass density	5.72	g cm⁻³

Cell lengths 5.577, 5.577, 5.577 Å; angles 60.00, 60.00, 60.00 degrees
Fractional coordinates of all 4 atoms:
1 Tl 0.750 0.750 0.750
2 Ca 0.500 0.500 0.500
3 Y 0.000 0.000 0.000
4 Y 0.250 0.250 0.250

Result of the stability comparison: D is the least stable of them.